A relaxed structure of MgMnNi2O4. Source: the Alexandria database, functional PBE with a Hubbard U.

Volume, A^3/atom: 10.0
VASP energy, eV per cell: -46.89
SG: P2/m

Lattice parameters (Å, degrees): 3.0525 5.2937 5.2337 109.66 90.00 90.00
Site moments in Bohr magnetons follow the coordinates.
Sites, in units of the cell vectors:
O 0.5000 0.7394 0.7408  0.15
Mn 0.0000 0.0000 0.0000  4.63
O 0.0000 0.2560 0.7466  0.13
Mg 0.5000 0.5000 0.0000  0.01
O 0.0000 0.7440 0.2534  0.13
Ni 0.5000 0.0000 0.5000  1.77
Ni 0.0000 0.5000 0.5000  1.78
O 0.5000 0.2606 0.2592  0.15